(1)
Density functional theory data (PBE) for a relaxed structure of Li2Ca2YPb2. Values from VASP.

Values from the calculation:
Final energy in eV per atom: -3.503
DFT formation energy in meV/atom: -401
Spin magnetization in μB per formula unit: 0.9
V in Å³ per cell: 191.7

Quantum ESPRESSO input file:
```
&SYSTEM
  ibrav = 0, nat = 7, ntyp = 4
/
ATOMIC_SPECIES
Li 6.94 Li.upf
Ca 40.08 Ca.upf
Y 88.91 Y.upf
Pb 207.20 Pb.upf
CELL_PARAMETERS angstrom
4.8845 0.0000 0.0000
2.4423 4.2301 0.0000
2.4423 1.4100 9.2799
ATOMIC_POSITIONS crystal
Li 0.6054 0.6054 0.1839
Li 0.3946 0.3946 0.8161
Ca 0.1274 0.1274 0.6178
Ca 0.8726 0.8726 0.3822
Y 0.0000 0.0000 0.0000
Pb 0.7336 0.7336 0.7991
Pb 0.2664 0.2664 0.2009
```



(2)
Density functional theory data (PBE) for a relaxed structure of LiCaY2Pb. Values from VASP.

Values from the calculation:
Final energy in eV per atom: -3.961
DFT formation energy in meV/atom: 149
Spin magnetization in μB per formula unit: 0.6
V in Å³ per cell: 183.0

Quantum ESPRESSO input file:
```
&SYSTEM
  ibrav = 0, nat = 5, ntyp = 4
/
ATOMIC_SPECIES
Pb 207.20 Pb.upf
Y 88.91 Y.upf
Ca 40.08 Ca.upf
Li 6.94 Li.upf
CELL_PARAMETERS angstrom
5.9139 0.0000 0.0000
0.0000 5.2318 0.0000
0.0000 0.0000 5.9139
ATOMIC_POSITIONS crystal
Pb 0.0000 0.0000 0.0000
Y 0.0000 0.0000 0.5000
Y 0.5000 0.0000 0.0000
Ca 0.5000 0.5000 0.5000
Li 0.0000 0.5000 0.0000
```



(3)
Density functional theory data (PBE) for a relaxed structure of Li2Ca2Pd. Values from VASP.

Values from the calculation:
Final energy in eV per atom: -2.814
DFT formation energy in meV/atom: -210
Spin magnetization in μB per formula unit: 0.0
V in Å³ per cell: 125.2
Energy above the lowest structure with this stoichiometry in eV/atom: 0.032

Quantum ESPRESSO input file:
```
&SYSTEM
  ibrav = 0, nat = 5, ntyp = 3
/
ATOMIC_SPECIES
Ca 40.08 Ca.upf
Pd 106.42 Pd.upf
Li 6.94 Li.upf
CELL_PARAMETERS angstrom
3.6459 0.0000 0.0000
0.0000 3.6459 0.0000
1.8229 1.8229 9.4194
ATOMIC_POSITIONS crystal
Ca 0.4100 0.4100 0.1800
Ca 0.5900 0.5900 0.8200
Pd 0.0000 0.0000 0.0000
Li 0.7500 0.2500 0.5000
Li 0.2500 0.7500 0.5000
```



(4)
Density functional theory data (PBE) for a relaxed structure of Li10CaPd3. Values from VASP.

Values from the calculation:
Final energy in eV per atom: -2.769
DFT formation energy in meV/atom: -146
Spin magnetization in μB per formula unit: 0.0
V in Å³ per cell: 558.7

Quantum ESPRESSO input file:
```
&SYSTEM
  ibrav = 0, nat = 28, ntyp = 3
/
ATOMIC_SPECIES
Li 6.94 Li.upf
Ca 40.08 Ca.upf
Pd 106.42 Pd.upf
CELL_PARAMETERS angstrom
8.0062 0.0000 4.6224
2.6687 7.5483 4.6224
0.0000 0.0000 9.2447
ATOMIC_POSITIONS crystal
Li 0.0000 0.0000 0.3341
Li 0.0000 0.3341 0.0000
Li 0.3341 0.0000 0.0000
Li 0.6659 0.3341 0.0000
Li 0.3937 0.3937 0.3937
Li 0.1810 0.6063 0.6063
Li 0.3937 0.8190 0.3937
Li 0.6659 0.0000 0.3341
Li 0.3937 0.3937 0.8190
Li 0.8190 0.3937 0.3937
Li 0.6063 0.6063 0.1810
Li 0.0000 0.0000 0.6659
Li 0.3341 0.6659 0.0000
Li 0.0000 0.6659 0.3341
Li 0.0000 0.3341 0.6659
Li 0.6659 0.0000 0.0000
Li 0.6063 0.6063 0.6063
Li 0.0000 0.6659 0.0000
Li 0.6063 0.1810 0.6063
Li 0.3341 0.0000 0.6659
Ca 0.2500 0.2500 0.2500
Ca 0.7500 0.7500 0.7500
Pd 0.7345 0.7345 0.2655
Pd 0.7345 0.2655 0.7345
Pd 0.2655 0.7345 0.7345
Pd 0.2655 0.2655 0.7345
Pd 0.7345 0.2655 0.2655
Pd 0.2655 0.7345 0.2655
```



(5)
Density functional theory data (PBE) for a relaxed structure of Li3Ca2Pd. Values from VASP.

Values from the calculation:
Final energy in eV per atom: -2.710
DFT formation energy in meV/atom: -220
Spin magnetization in μB per formula unit: 0.0
V in Å³ per cell: 134.6

Quantum ESPRESSO input file:
```
&SYSTEM
  ibrav = 0, nat = 6, ntyp = 3
/
ATOMIC_SPECIES
Li 6.94 Li.upf
Ca 40.08 Ca.upf
Pd 106.42 Pd.upf
CELL_PARAMETERS angstrom
4.9184 -0.1146 -2.5844
-3.1103 4.5978 -0.2624
-0.0206 0.2718 5.9426
ATOMIC_POSITIONS crystal
Li 0.5000 0.5000 0.5000
Li 0.0000 0.0000 0.5000
Li 0.5000 0.0000 0.5000
Ca 0.7464 0.3719 0.1183
Ca 0.2536 0.6281 0.8817
Pd 0.0000 0.0000 0.0000
```



(6)
Density functional theory data (PBE) for a relaxed structure of Li5Ca2Pd4. Values from VASP.

Values from the calculation:
Final energy in eV per atom: -3.518
DFT formation energy in meV/atom: -396
Spin magnetization in μB per formula unit: 0.0
V in Å³ per cell: 206.0

Quantum ESPRESSO input file:
```
&SYSTEM
  ibrav = 0, nat = 11, ntyp = 3
/
ATOMIC_SPECIES
Li 6.94 Li.upf
Ca 40.08 Ca.upf
Pd 106.42 Pd.upf
CELL_PARAMETERS angstrom
-3.2424 -4.2073 0.6857
3.3062 -5.8659 0.5586
-1.1759 -1.4440 6.4957
ATOMIC_POSITIONS crystal
Li 0.2556 0.1980 0.8021
Li 0.7444 0.8020 0.1979
Li 0.0000 0.5000 0.5000
Li 0.7444 0.1980 0.8021
Li 0.2556 0.8020 0.1979
Ca 0.2826 0.7173 0.7174
Ca 0.7174 0.2827 0.2826
Pd 0.2359 0.0942 0.4340
Pd 0.7641 0.9058 0.5660
Pd 0.7642 0.5659 0.9056
Pd 0.2358 0.4341 0.0944
```



(7)
Density functional theory data (PBE) for a relaxed structure of Li3Ca4Pd2. Values from VASP.

Values from the calculation:
Final energy in eV per atom: -3.015
DFT formation energy in meV/atom: -333
Spin magnetization in μB per formula unit: 0.0
V in Å³ per cell: 230.7

Quantum ESPRESSO input file:
```
&SYSTEM
  ibrav = 0, nat = 9, ntyp = 3
/
ATOMIC_SPECIES
Li 6.94 Li.upf
Ca 40.08 Ca.upf
Pd 106.42 Pd.upf
CELL_PARAMETERS angstrom
-0.5288 1.2589 4.3467
-6.3843 0.1193 -0.8113
2.3416 -8.2359 0.2823
ATOMIC_POSITIONS crystal
Li 0.1017 0.2102 0.2034
Li 0.8983 0.7898 0.7966
Li 0.0000 0.5000 0.0000
Ca 0.2249 0.6986 0.4499
Ca 0.7751 0.3014 0.5501
Ca 0.5684 0.8370 0.1367
Ca 0.4316 0.1630 0.8633
Pd 0.3874 0.5794 0.7747
Pd 0.6126 0.4206 0.2253
```



(8)
Density functional theory data (PBE) for a relaxed structure of Li2Ca2Pd. Values from VASP.

Values from the calculation:
Final energy in eV per atom: -2.600
DFT formation energy in meV/atom: 4
Spin magnetization in μB per formula unit: 0.0
V in Å³ per cell: 292.3
Energy above the lowest structure with this stoichiometry in eV/atom: 0.246

Quantum ESPRESSO input file:
```
&SYSTEM
  ibrav = 0, nat = 10, ntyp = 3
/
ATOMIC_SPECIES
Ca 40.08 Ca.upf
Pd 106.42 Pd.upf
Li 6.94 Li.upf
CELL_PARAMETERS angstrom
-4.8594 4.4879 3.6121
-5.6160 -2.6373 -4.2786
-0.8765 -3.7209 3.4439
ATOMIC_POSITIONS crystal
Ca 0.3318 0.8318 0.0000
Ca 0.8318 0.6682 0.0000
Ca 0.6682 0.1682 0.0000
Ca 0.1682 0.3318 0.0000
Pd 0.0000 0.0000 0.0000
Pd 0.5000 0.5000 0.0000
Li 0.1496 0.6496 0.5000
Li 0.6496 0.8504 0.5000
Li 0.8504 0.3504 0.5000
Li 0.3504 0.1496 0.5000
```